The following is a PBE calculation of a relaxed structure of AgSbAsO, from the Open Quantum Materials Database.

abc: 4.3962 4.3962 8.8883
angles: 90.00 90.00 90.00
Positions (direct):
Sb  0.7500  0.2500  0.5000
Sb  0.2500  0.7500  0.5000
O  0.2500  0.7500  0.0000
O  0.7500  0.2500  0.0000
As  0.2500  0.2500  0.9986
As  0.7500  0.7500  0.0014
Ag  0.7500  0.7500  0.7140
Ag  0.2500  0.2500  0.2860

Summary:
crystal system: tetragonal
distance to the lowest polymorph of the same formula: 325 meV per atom



The following is a PBE calculation of a relaxed structure of Ba2AuSe, from the Open Quantum Materials Database.

abc: 5.1017 6.4810 8.3367
angles: 90.00 90.00 90.00
Positions (direct):
Ba  0.0000  0.5874  0.1974
Ba  0.5000  0.1019  0.3018
Ba  0.5000  0.8981  0.8018
Ba  0.0000  0.4126  0.6974
Au  0.0000  0.0503  0.0397
Au  0.0000  0.9497  0.5397
Se  0.5000  0.5668  0.4612
Se  0.5000  0.4332  0.9612

Summary:
crystal system: orthorhombic
DFT total energy: -3.860 eV per atom



The following is a PBE calculation of a relaxed structure of HfCoReSi, from the Open Quantum Materials Database.

abc: 4.4096 4.4096 4.4096
angles: 60.00 60.00 60.00
Last column: magnetic moment on the atom in μB.
Positions (direct):
Re  0.5000  0.5000  0.5000  0.63
Co  0.7500  0.7500  0.7500  1.69
Si  0.0000  0.0000  0.0000  0.01
Hf  0.2500  0.2500  0.2500  0.14

Summary:
magnetic moment: 2.47 μB/f.u.
crystal system: cubic
distance to the lowest polymorph of the same formula: 499 meV per atom



The following is a PBE calculation of a relaxed structure of YAlCoTc, from the Open Quantum Materials Database.

abc: 4.4920 4.4920 4.4920
angles: 60.00 60.00 60.00
Positions (direct):
Y  0.5000  0.5000  0.5000
Al  0.0000  0.0000  0.0000
Co  0.7500  0.7500  0.7500
Tc  0.2500  0.2500  0.2500

Summary:
magnetic moment: 0.01 μB/f.u.
crystal system: cubic
distance to the lowest polymorph of the same formula: 0 meV per atom



The following is a PBE calculation of a relaxed structure of Ta4Ge3Mo2N3, from the Open Quantum Materials Database.

abc: 5.5596 5.5596 12.8303
angles: 102.64 102.64 59.91
Positions (direct):
Ge  0.9019  0.0981  0.7500
Ge  0.5839  0.7337  0.7519
Ge  0.7337  0.5839  0.2519
Ge  0.0981  0.9019  0.2500
Ge  0.4161  0.2663  0.2481
Ge  0.2663  0.4161  0.7481
Mo  0.5328  0.3774  0.5884
Mo  0.3774  0.5328  0.0884
Mo  0.6226  0.4672  0.9116
Mo  0.4672  0.6226  0.4116
N  0.5000  0.0000  0.5000
N  0.0000  0.5000  0.0000
N  0.1439  0.6769  0.5006
N  0.8561  0.3231  0.4994
N  0.6769  0.1439  0.0006
N  0.3231  0.8561  0.9994
Ta  0.6993  0.8489  0.0931
Ta  0.1511  0.3007  0.4069
Ta  0.0164  0.2119  0.0928
Ta  0.8489  0.6993  0.5931
Ta  0.2119  0.0164  0.5928
Ta  0.3007  0.1511  0.9069
Ta  0.9836  0.7881  0.9072
Ta  0.7881  0.9836  0.4072

Summary:
magnetic moment: 0.00 μB/f.u.
crystal system: monoclinic
DFT total energy: -9.395 eV per atom



The following is a PBE calculation of a relaxed structure of NbInNi2, from the Open Quantum Materials Database.

abc: 4.3922 4.3922 4.3922
angles: 60.00 60.00 60.00
Positions (direct):
In  0.5000  0.5000  0.5000
Ni  0.0000  0.0000  0.0000
Ni  0.7500  0.7500  0.7500
Nb  0.2500  0.2500  0.2500

Summary:
magnetic moment: 0.00 μB/f.u.
crystal system: cubic
DFT total energy: -5.895 eV per atom



The following is a PBE calculation of a relaxed structure of Er2TmGa3AgPt2, from the Open Quantum Materials Database.

abc: 3.6706 7.4866 7.4866
angles: 119.96 90.00 90.00
Positions (direct):
Ga  0.5000  0.0003  0.2718
Ga  0.5000  0.7279  0.7279
Ga  0.5000  0.2718  0.0003
Pt  0.5000  0.3336  0.6659
Pt  0.5000  0.6659  0.3336
Er  0.0000  0.0000  0.5923
Er  0.0000  0.5923  0.0000
Ag  0.0000  0.0005  0.0005
Tm  0.0000  0.4077  0.4077

Summary:
magnetic moment: 0.00 μB/f.u.
crystal system: orthorhombic
DFT total energy: -5.081 eV per atom



The following is a PBE calculation of a relaxed structure of Tm2AgAu3, from the Open Quantum Materials Database.

abc: 3.6975 3.6975 9.0560
angles: 90.00 90.00 90.00
Positions (direct):
Ag  0.0000  0.0000  0.1704
Au  0.0000  0.0000  0.8410
Au  0.5000  0.5000  0.3312
Au  0.5000  0.5000  0.6614
Tm  0.5000  0.5000  0.9933
Tm  0.0000  0.0000  0.5026

Summary:
magnetic moment: 0.00 μB/f.u.
crystal system: tetragonal
E_form: -773 meV per atom



Number 1: mass density 6.197 g/cm3. Number 2: mass density 6.634 g/cm3. Number 3: mass density 12.372 g/cm3. Number 4: mass density 7.068 g/cm3. Number 5: mass density 11.760 g/cm3. Number 6: mass density 9.011 g/cm3. Number 7: mass density 11.278 g/cm3. Number 8: mass density 13.903 g/cm3.